# 1
A relaxed Cs2LiBeCl6 crystal, computed with PBE.

Electronic total energy in eV/cell: -32.60
DOS at the Fermi energy in states/eV per cell: 7.18
Energy relative to the elements, uncorrected in kcal/mol of atoms: -32.68
SG: I4/mmm, No. 139

```
10
Lattice="7.4487 0.0000 0.0000 0.0000 7.4487 0.0000 3.7244 3.7244 5.1920" Properties=species:S:1:pos:R:3 pbc="T T T"
Cl 7.4487 7.4487 1.8996
Cs 3.7244 7.4487 2.5960
Li 3.7244 3.7244 0.0000
Cs 7.4487 3.7244 2.5960
Be 0.0000 0.0000 0.0000
Cl 5.4309 5.4309 0.0000
Cl 2.0178 5.4309 0.0000
Cl 2.0178 2.0178 0.0000
Cl 3.7244 3.7244 3.2924
Cl 5.4309 2.0178 0.0000
```



# 2
A relaxed LiHfSb2 crystal, computed with PBE.

Energy relative to the lowest polymorph listed for this composition in meV per atom: 150
Electronic total energy in eV/cell: -21.07
DOS at the Fermi energy in states/eV per cell: 2.27
Energy relative to the elements, uncorrected in kcal/mol of atoms: -5.55
SG: Fm-3m, No. 225

```
4
Lattice="-3.4322 -3.6724 0.3975 -4.9117 1.1374 0.0801 -2.9208 -1.1587 -3.9434" Properties=species:S:1:pos:R:3 pbc="T T T"
Li 0.0000 0.0000 0.0000
Sb -8.4485 -2.7703 -2.5994
Hf -5.6323 -1.8468 -1.7329
Sb -2.8162 -0.9234 -0.8665
```